This record from the Alexandria database describes Ac2GaAg after structural relaxation. The functional is GGA-PBE.

abc: 4.7870 6.4961 8.5810
angles: 109.45 90.00 90.00
Closest atoms and distances in Å follow each position.
Positions (direct):
Ag: 0.2500 0.3704 0.2185  2 Ga 2.94
Ag: 0.7500 0.6296 0.7815  2 Ga 2.94
Ac: 0.7500 0.2044 0.4235  3 Ag 3.35-3.38, 4 Ga 3.36-3.46
Ac: 0.7500 0.2124 0.9303  3 Ga 3.33-3.41, 4 Ag 3.35-3.57
Ac: 0.2500 0.7876 0.0697  3 Ga 3.33-3.41, 4 Ag 3.35-3.57
Ac: 0.2500 0.7956 0.5765  3 Ag 3.35-3.38, 4 Ga 3.36-3.46
Ga: 0.7500 0.6492 0.2862  2 Ag 2.94
Ga: 0.2500 0.3508 0.7138  2 Ag 2.94

Output
- magnetization (μB/f.u.) = 0.00
- space-group type = P2_1/m, No. 11
- ΔE_f (eV/f.u.) = -1.4
- calculated total energy (eV/atom) = -3.87